1.
This record from Alexandria via LeMat-Bulk describes ZrMoPt2 after structural relaxation. The functional is PBE-GGA.

POSCAR file:
```
ZrMoPt2
1.0
2.849 0.000 0.000
0.000 2.849 0.000
0.000 0.000 8.232
Zr Mo Pt
1 1 2
Cartesian
0.000 0.000 0.000
0.000 0.000 4.116
1.425 1.425 2.167
1.425 1.425 6.066
```

Calculated values
- ΔH_f (0 K) (eV per atom) = -0.552

2.
This record from Alexandria via LeMat-Bulk describes ZrMoPt2 after structural relaxation. The functional is PBE-GGA.

POSCAR file:
```
ZrMoPt2
1.0
2.844 0.000 0.000
0.000 4.662 0.000
0.000 0.000 5.066
Zr Mo Pt
1 1 2
Cartesian
0.000 0.000 0.000
0.000 2.331 3.210
1.422 0.000 2.552
1.422 2.331 0.790
```

Calculated values
- ΔH_f (0 K) (eV per atom) = -0.585

3.
This record from Alexandria via LeMat-Bulk describes ZrMoPt2 after structural relaxation. The functional is PBE-GGA.

POSCAR file:
```
ZrMoPt2
1.0
6.479 0.000 0.000
0.000 6.479 0.000
0.000 0.000 6.479
Zr Mo Pt
4 4 8
Cartesian
0.000 0.000 0.000
0.000 3.240 3.240
3.240 0.000 3.240
3.240 3.240 0.000
1.620 1.620 1.620
1.620 4.859 4.859
4.859 1.620 4.859
4.859 4.859 1.620
0.000 0.000 3.240
0.000 3.240 0.000
1.620 1.620 4.859
1.620 4.859 1.620
3.240 0.000 0.000
3.240 3.240 3.240
4.859 1.620 1.620
4.859 4.859 4.859
```

Calculated values
- ΔH_f (0 K) (eV per atom) = -0.320

4.
This record from Alexandria via LeMat-Bulk describes ZrMoPt2 after structural relaxation. The functional is PBE-GGA.

POSCAR file:
```
ZrMoPt2
1.0
2.859 0.000 0.000
-1.430 2.476 0.000
0.000 0.000 28.990
Zr Mo Pt
3 3 6
Cartesian
0.000 0.000 0.000
0.000 1.651 19.327
1.430 0.825 9.663
0.000 0.000 21.997
0.000 1.651 12.334
1.430 0.825 2.670
0.000 0.000 7.268
0.000 0.000 14.514
0.000 1.651 4.851
0.000 1.651 26.595
1.430 0.825 16.932
1.430 0.825 24.178
```

Calculated values
- ΔH_f (0 K) (eV per atom) = -0.155

5.
This record from Alexandria via LeMat-Bulk describes ZrMoPt2 after structural relaxation. The functional is PBE-GGA.

POSCAR file:
```
ZrMoPt2
1.0
2.871 0.000 0.000
0.000 2.871 0.000
0.000 0.000 8.295
Zr Mo Pt
1 1 2
Cartesian
0.000 0.000 0.000
1.436 1.436 2.297
0.000 0.000 4.131
1.436 1.436 6.215
```

Calculated values
- ΔH_f (0 K) (eV per atom) = -0.351

6.
This record from Alexandria via LeMat-Bulk describes ZrMoPt2 after structural relaxation. The functional is PBE-GGA.

POSCAR file:
```
ZrMoPt2
1.0
9.451 0.000 0.000
0.000 2.881 0.000
-0.909 0.000 5.006
Zr Mo Pt
2 2 4
Cartesian
0.000 0.000 0.000
4.726 1.441 0.000
1.719 0.000 3.431
6.444 1.441 3.431
-0.424 1.441 2.535
2.188 1.441 1.078
4.302 0.000 2.535
6.914 0.000 1.078
```

Calculated values
- ΔH_f (0 K) (eV per atom) = -0.494

7.
This record from Alexandria via LeMat-Bulk describes ZrMoPt2 after structural relaxation. The functional is PBE-GGA.

POSCAR file:
```
ZrMoPt2
1.0
4.060 0.000 0.000
0.000 4.060 0.000
0.000 0.000 8.249
Zr Mo Pt
2 2 4
Cartesian
0.000 0.000 0.000
2.030 2.030 4.124
0.000 2.030 6.187
2.030 0.000 2.062
0.000 0.000 4.124
0.000 2.030 2.062
2.030 0.000 6.187
2.030 2.030 0.000
```

Calculated values
- ΔH_f (0 K) (eV per atom) = -0.456

8.
This record from Alexandria via LeMat-Bulk describes ZrMoPt2 after structural relaxation. The functional is PBE-GGA.

POSCAR file:
```
ZrMoPt2
1.0
4.029 0.000 0.000
0.000 4.029 0.000
0.000 0.000 8.250
Zr Mo Pt
2 2 4
Cartesian
0.000 0.000 0.000
2.015 2.015 4.125
0.000 0.000 4.125
2.015 2.015 0.000
0.000 2.015 2.063
0.000 2.015 6.188
2.015 0.000 2.063
2.015 0.000 6.188
```

Calculated values
- ΔH_f (0 K) (eV per atom) = -0.584

9.
This record from Alexandria via LeMat-Bulk describes Zr3MoPt after structural relaxation. The functional is PBE-GGA.

POSCAR file:
```
Zr3MoPt
1.0
5.054 0.000 0.000
0.000 5.054 0.000
0.000 0.000 5.054
Zr Mo Pt
3 1 1
Cartesian
0.000 0.000 2.527
0.000 2.527 0.000
2.527 0.000 0.000
2.527 2.527 2.527
0.000 0.000 0.000
```

Calculated values
- ΔH_f (0 K) (eV per atom) = 0.722

10.
This record from Alexandria via LeMat-Bulk describes ZrMoPt2 after structural relaxation. The functional is PBE-GGA.

POSCAR file:
```
ZrMoPt2
1.0
3.519 0.000 0.000
0.000 3.519 0.000
0.000 0.000 5.603
Zr Mo Pt
1 1 2
Cartesian
0.000 0.000 0.000
0.000 0.000 2.802
1.759 1.759 1.456
1.759 1.759 4.148
```

Calculated values
- ΔH_f (0 K) (eV per atom) = -0.446

11.
This record from Alexandria via LeMat-Bulk describes PuMo4 after structural relaxation. The functional is PBE-GGA.

POSCAR file:
```
PuMo4
1.0
4.667 0.000 0.000
0.000 4.667 0.000
0.000 0.000 4.667
Pu Mo
1 4
Cartesian
0.000 0.000 0.000
0.000 0.000 2.333
0.000 2.333 0.000
2.333 0.000 0.000
2.333 2.333 2.333
```

Calculated values
- ΔH_f (0 K) (eV per atom) = 1.719

12.
This record from Alexandria via LeMat-Bulk describes Rb3Pu3MoS8 after structural relaxation. The functional is PBE-GGA.

POSCAR file:
```
Rb3Pu3MoS8
1.0
3.975 2.295 7.815
-3.975 2.295 7.815
0.000 -4.590 7.815
Rb Pu Mo S
3 3 1 8
Cartesian
-1.988 -1.148 7.815
-1.988 1.148 15.629
0.000 2.295 7.815
-3.975 0.000 11.722
-1.988 1.148 3.907
1.988 1.148 3.907
0.000 0.000 11.722
0.000 0.000 5.409
-1.847 -1.067 13.118
0.000 -2.133 10.327
-1.847 1.067 10.327
1.847 -1.067 13.118
0.000 2.133 13.118
1.847 1.067 10.327
0.000 0.000 18.035
```

Calculated values
- ΔE_f (raw) (eV/atom) = -1.3367

13.
This record from Alexandria via LeMat-Bulk describes PuReSi2Mo after structural relaxation. The functional is PBE-GGA.

POSCAR file:
```
PuReSi2Mo
1.0
3.966 0.000 0.000
0.000 3.966 0.000
0.000 0.000 10.995
Pu Re Si Mo
2 2 4 2
Cartesian
0.000 0.000 0.000
1.983 1.983 5.498
0.000 1.983 2.749
1.983 0.000 8.246
0.000 0.000 4.297
0.000 0.000 6.698
1.983 1.983 1.200
1.983 1.983 9.795
0.000 1.983 8.246
1.983 0.000 2.749
```

Calculated values
- ΔE_f (raw) (eV/atom) = -0.3403

14.
This record from Alexandria via LeMat-Bulk describes Pu2MoRu after structural relaxation. The functional is PBE-GGA.

POSCAR file:
```
Pu2MoRu
1.0
4.760 0.000 0.000
0.000 4.760 0.000
0.000 0.000 3.425
Pu Mo Ru
2 1 1
Cartesian
0.000 2.380 0.000
2.380 0.000 0.000
0.000 0.000 1.712
2.380 2.380 1.712
```

Calculated values
- ΔH_f (0 K) (eV per atom) = 0.144

15.
This record from Alexandria via LeMat-Bulk describes PuMoRu after structural relaxation. The functional is PBE-GGA.

POSCAR file:
```
PuMoRu
1.0
14.182 0.000 0.000
0.000 2.957 0.000
0.000 0.000 4.817
Pu Mo Ru
4 4 4
Cartesian
2.454 0.000 0.000
2.454 1.478 2.409
11.728 0.000 0.000
11.728 1.478 2.409
4.944 0.000 2.382
4.944 1.478 4.791
9.238 0.000 2.382
9.238 1.478 4.791
0.000 0.000 3.822
0.000 1.478 1.414
7.091 0.000 4.160
7.091 1.478 1.752
```

Calculated values
- ΔH_f (0 K) (eV per atom) = 0.288

16.
This record from Alexandria via LeMat-Bulk describes Pu2MoRu3 after structural relaxation. The functional is PBE-GGA.

POSCAR file:
```
Pu2MoRu3
1.0
2.830 1.634 3.924
-2.830 1.634 3.924
0.000 -3.267 3.924
Pu Mo Ru
2 1 3
Cartesian
0.000 0.000 1.449
0.000 0.000 10.323
0.000 0.000 5.886
-1.415 -0.817 3.924
-1.415 0.817 7.848
0.000 1.634 3.924
```

Calculated values
- ΔH_f (0 K) (eV per atom) = -0.103

17.
This record from Alexandria via LeMat-Bulk describes PuMoRu2 after structural relaxation. The functional is PBE-GGA.

POSCAR file:
```
PuMoRu2
1.0
3.045 0.000 0.000
0.000 3.045 0.000
0.000 0.000 7.376
Pu Mo Ru
1 1 2
Cartesian
0.000 0.000 0.000
0.000 0.000 3.688
1.522 1.522 2.130
1.522 1.522 5.246
```

Calculated values
- ΔH_f (0 K) (eV per atom) = 0.046

18.
This record from Alexandria via LeMat-Bulk describes PuMoRu after structural relaxation. The functional is PBE-GGA.

POSCAR file:
```
PuMoRu
1.0
3.047 0.000 0.000
0.000 3.047 0.000
0.000 0.000 11.806
Pu Mo Ru
2 2 2
Cartesian
0.000 0.000 0.000
1.524 1.524 5.903
0.000 0.000 8.125
1.524 1.524 2.222
0.000 0.000 3.654
1.524 1.524 9.557
```

Calculated values
- ΔH_f (0 K) (eV per atom) = 0.143

19.
This record from Alexandria via LeMat-Bulk describes PuScMoRu after structural relaxation. The functional is PBE-GGA.

POSCAR file:
```
PuScMoRu
1.0
6.606 0.000 0.000
0.000 6.606 0.000
0.000 0.000 6.606
Pu Sc Mo Ru
4 4 4 4
Cartesian
0.000 0.000 0.000
0.000 3.303 3.303
3.303 0.000 3.303
3.303 3.303 0.000
0.000 0.000 3.303
0.000 3.303 0.000
3.303 0.000 0.000
3.303 3.303 3.303
1.651 1.651 1.651
1.651 4.954 4.954
4.954 1.651 4.954
4.954 4.954 1.651
1.651 1.651 4.954
1.651 4.954 1.651
4.954 1.651 1.651
4.954 4.954 4.954
```

Calculated values
- ΔH_f (0 K) (eV per atom) = -0.099

20.
This record from Alexandria via LeMat-Bulk describes PuTcMoRu after structural relaxation. The functional is PBE-GGA.

POSCAR file:
```
PuTcMoRu
1.0
6.464 0.000 0.000
0.000 6.464 0.000
0.000 0.000 6.464
Pu Tc Mo Ru
4 4 4 4
Cartesian
0.000 0.000 0.000
0.000 3.232 3.232
3.232 0.000 3.232
3.232 3.232 0.000
1.616 1.616 4.848
1.616 4.848 1.616
4.848 1.616 1.616
4.848 4.848 4.848
0.000 0.000 3.232
0.000 3.232 0.000
3.232 0.000 0.000
3.232 3.232 3.232
1.616 1.616 1.616
1.616 4.848 4.848
4.848 1.616 4.848
4.848 4.848 1.616
```

Calculated values
- ΔH_f (0 K) (eV per atom) = 0.123

no.,total magnetic moment (μB/f.u.)
1,0.2
2,0.0
3,0.0
4,0.0
5,0.0
6,0.0
7,1.5
8,0.0
9,2.1
10,0.6
11,2.8
12,17.0
13,5.3
14,8.3
15,3.4
16,9.0
17,4.1
18,4.6
19,3.4
20,4.3